DFT (PBE-GGA) results for a geometry-optimized SrTaCuPd structure.

a b c (Å): 4.827 4.827 4.827
angles (deg): 60.00 60.00 60.00
Positions (direct):
Sr (0.000, 0.000, 0.000)
Ta (0.500, 0.500, 0.500)
Cu (0.250, 0.250, 0.250)
Pd (0.750, 0.750, 0.750)

Energy above the most stable polymorph in this dataset ... 0.00 eV per formula unit
Total DFT energy (no corrections) ... -5.1955 eV per atom
SG ... F-43m (216)